Entry 1:
FeCu2I8 | the Alexandria database | GGA-PBE | optimized geometry; total magnetization = 3.9 μB per formula unit; formation energy from raw total energies = -57 meV per atom; VASP energy = -2.6983 eV per atom; volume = 39.98 Å³/atom; crystal system = monoclinic
1.0
6.534 0.231 0.047
-0.316 10.154 -5.803
1.186 -2.188 7.901
I Fe Cu
8 1 2
direct
0.264 0.754 0.826
0.736 0.927 0.174
0.155 0.231 0.461
0.845 0.769 0.539
0.264 0.073 0.826
0.736 0.246 0.174
0.698 0.415 0.830
0.302 0.585 0.170
0.000 0.000 0.000
0.548 0.227 0.454
0.452 0.773 0.546



Entry 2:
FeCuI2 | the Alexandria database | GGA-PBE | optimized geometry; total magnetization = 3.3 μB per formula unit; formation energy from raw total energies = 710 meV per atom; VASP energy = -3.2052 eV per atom; energy relative to the lowest polymorph listed for this composition = 500 meV/atom; volume = 23.01 Å³/atom; crystal system = cubic
1.0
4.780 -1.673 0.189
1.569 -2.746 3.960
0.980 -4.939 -0.571
I Fe Cu
2 1 1
direct
0.250 0.250 0.250
0.750 0.750 0.750
0.000 0.000 0.000
0.500 0.500 0.500